# 1
First-principles (PBE-GGA) data for a relaxed structure of Hf2ZnMo, as listed in the Alexandria database.

a = 6.1349 Å, b = 6.1349 Å, c = 6.1349 Å
α = 56.01°, β = 152.66°, γ = 132.12°
Positions (direct):
Hf  0.0000  0.2474  0.2474
Hf  0.0000  0.7526  0.7526
Zn  0.0000  0.0000  0.0000
Mo  0.0000  0.5000  0.5000

E above lowest polymorph = 723 meV/atom
Energy of formation from the pure elements = 533 meV/atom
Fermi-level density of states = 2.082 states/eV/f.u.
Density = 11.01 g/cm3


# 2
First-principles (PBE-GGA) data for a relaxed structure of HfZn2Mo, as listed in the Alexandria database.

a = 4.5180 Å, b = 4.5180 Å, c = 4.5180 Å
α = 60.00°, β = 60.00°, γ = 60.00°
Positions (direct):
Mo  0.0000  0.0000  0.0000
Hf  0.5000  0.5000  0.5000
Zn  0.2500  0.2500  0.2500
Zn  0.7500  0.7500  0.7500

E above lowest polymorph = 141 meV/atom
Energy of formation from the pure elements = 88 meV/atom
Fermi-level density of states = 3.921 states/eV/f.u.
Density = 10.32 g/cm3


# 3
First-principles (PBE-GGA) data for a relaxed structure of HfZn2Mo, as listed in the Alexandria database.

a = 7.2515 Å, b = 7.2515 Å, c = 5.7858 Å
α = 51.20°, β = 51.20°, γ = 90.00°
Positions (direct):
Mo  0.5000  0.5000  0.0000
Mo  0.2500  0.7500  0.5000
Hf  0.0000  0.0000  0.0000
Hf  0.7500  0.2500  0.5000
Zn  0.6084  0.1250  0.2500
Zn  0.1416  0.6250  0.2500
Zn  0.3750  0.3916  0.7500
Zn  0.8750  0.8584  0.7500

E above lowest polymorph = 403 meV/atom
Energy of formation from the pure elements = 349 meV/atom
Fermi-level density of states = 1.984 states/eV/f.u.
Density = 9.55 g/cm3


# 4
First-principles (PBE-GGA) data for a relaxed structure of Hf3ZnMo, as listed in the Alexandria database.

a = 5.0114 Å, b = 5.0114 Å, c = 5.0114 Å
α = 90.00°, β = 90.00°, γ = 90.00°
Positions (direct):
Mo  0.0000  0.0000  0.0000
Hf  0.0000  0.5000  0.0000
Hf  0.0000  0.0000  0.5000
Hf  0.5000  0.0000  0.0000
Zn  0.5000  0.5000  0.5000

E above lowest polymorph = 0 meV/atom
Energy of formation from the pure elements = 871 meV/atom
Fermi-level density of states = 7.053 states/eV/f.u.
Density = 9.19 g/cm3


# 5
First-principles (PBE-GGA) data for a relaxed structure of Hf2ZnMo, as listed in the Alexandria database.

a = 4.0142 Å, b = 4.0142 Å, c = 10.1793 Å
α = 78.63°, β = 78.63°, γ = 90.00°
Positions (direct):
Mo  0.0000  0.0000  0.0000
Mo  0.7500  0.2500  0.5000
Hf  0.6316  0.1250  0.2500
Hf  0.1184  0.6250  0.2500
Hf  0.3750  0.3684  0.7500
Hf  0.8750  0.8816  0.7500
Zn  0.5000  0.5000  0.0000
Zn  0.2500  0.7500  0.5000

E above lowest polymorph = 772 meV/atom
Energy of formation from the pure elements = 582 meV/atom
Fermi-level density of states = 3.018 states/eV/f.u.
Density = 10.93 g/cm3


# 6
First-principles (PBE-GGA) data for a relaxed structure of HfZn3Mo, as listed in the Alexandria database.

a = 5.0426 Å, b = 5.0426 Å, c = 5.0426 Å
α = 90.00°, β = 90.00°, γ = 90.00°
Last column: magnetic moment on the atom in μB.
Positions (direct):
Mo  0.5000  0.5000  0.5000  3.44
Hf  0.0000  0.0000  0.0000  -0.41
Zn  0.0000  0.5000  0.0000  -0.05
Zn  0.0000  0.0000  0.5000  -0.02
Zn  0.5000  0.0000  0.0000  -0.08

E above lowest polymorph = 663 meV/atom
Energy of formation from the pure elements = 1621 meV/atom
Fermi-level density of states = 5.596 states/eV/f.u.
Density = 6.10 g/cm3


# 7
First-principles (PBE-GGA) data for a relaxed structure of HfZnMo3, as listed in the Alexandria database.

a = 4.7867 Å, b = 4.7867 Å, c = 4.7867 Å
α = 90.00°, β = 90.00°, γ = 90.00°
Positions (direct):
Mo  0.0000  0.5000  0.0000
Mo  0.0000  0.0000  0.5000
Mo  0.5000  0.0000  0.0000
Hf  0.0000  0.0000  0.0000
Zn  0.5000  0.5000  0.5000

E above lowest polymorph = 656 meV/atom
Energy of formation from the pure elements = 1979 meV/atom
Fermi-level density of states = 4.018 states/eV/f.u.
Density = 8.05 g/cm3


# 8
First-principles (PBE-GGA) data for a relaxed structure of Hf3Zn2Mo, as listed in the Alexandria database.

a = 4.7125 Å, b = 7.4817 Å, c = 6.5737 Å
α = 90.00°, β = 90.00°, γ = 71.64°
Positions (direct):
Hf  0.8314  0.3373  0.7582
Hf  0.5000  0.0000  0.2468
Hf  0.1686  0.6627  0.2418
Hf  0.8313  0.3373  0.2418
Hf  0.1687  0.6627  0.7582
Hf  0.5000  0.0000  0.7532
Zn  0.0000  0.0000  0.0000
Zn  0.0000  0.0000  0.5000
Zn  0.3336  0.3328  0.5000
Zn  0.6664  0.6672  0.5000
Mo  0.3376  0.3248  0.0000
Mo  0.6624  0.6752  0.0000

Energy of formation from the pure elements = -202 meV/atom
Fermi-level density of states = 4.657 states/eV/f.u.
Density = 11.51 g/cm3


# 9
First-principles (PBE-GGA) data for a relaxed structure of Hf2ZnMo, as listed in the Alexandria database.

a = 3.3917 Å, b = 3.3917 Å, c = 6.4352 Å
α = 90.00°, β = 90.00°, γ = 90.00°
Positions (direct):
Mo  0.5000  0.5000  0.0000
Hf  0.0000  0.0000  0.7616
Hf  0.0000  0.0000  0.2384
Zn  0.5000  0.5000  0.5000

E above lowest polymorph = 0 meV/atom
Energy of formation from the pure elements = -190 meV/atom
Fermi-level density of states = 4.461 states/eV/f.u.
Density = 11.63 g/cm3


# 10
First-principles (PBE-GGA) data for a relaxed structure of HfZnMo2, as listed in the Alexandria database.

a = 7.3676 Å, b = 7.3676 Å, c = 5.8399 Å
α = 50.89°, β = 50.89°, γ = 90.00°
Positions (direct):
Mo  0.5960  0.1250  0.2500
Mo  0.1540  0.6250  0.2500
Mo  0.3750  0.4040  0.7500
Mo  0.8750  0.8460  0.7500
Hf  0.0000  0.0000  0.0000
Hf  0.7500  0.2500  0.5000
Zn  0.5000  0.5000  0.0000
Zn  0.2500  0.7500  0.5000

E above lowest polymorph = 289 meV/atom
Energy of formation from the pure elements = 606 meV/atom
Fermi-level density of states = 3.222 states/eV/f.u.
Density = 10.10 g/cm3


# 11
First-principles (PBE-GGA) data for a relaxed structure of HfZrZnMo, as listed in the Alexandria database.

a = 4.7237 Å, b = 4.7237 Å, c = 4.7237 Å
α = 60.00°, β = 60.00°, γ = 60.00°
Positions (direct):
Mo  0.5000  0.5000  0.5000
Hf  0.2500  0.2500  0.2500
Zn  0.0000  0.0000  0.0000
Zr  0.7500  0.7500  0.7500

E above lowest polymorph = 59 meV/atom
Energy of formation from the pure elements = -119 meV/atom
Fermi-level density of states = 4.356 states/eV/f.u.
Density = 9.60 g/cm3


# 12
First-principles (PBE-GGA) data for a relaxed structure of HfZrZnMo, as listed in the Alexandria database.

a = 3.4116 Å, b = 3.4116 Å, c = 6.4296 Å
α = 90.00°, β = 90.00°, γ = 90.00°
Positions (direct):
Hf  0.5000  0.5000  0.5967
Zr  0.5000  0.5000  0.1178
Zn  0.0000  0.0000  0.8529
Mo  0.0000  0.0000  0.3606

E above lowest polymorph = 0 meV/atom
Energy of formation from the pure elements = -177 meV/atom
Fermi-level density of states = 4.765 states/eV/f.u.
Density = 9.57 g/cm3